LiScAg2: optimized geometry, PBE.

abc: 3.1052 3.1052 27.2746
angles: 90.00 90.00 120.00
Space group R3m (No. 160, hexagonal axes)
One atom of each set of equivalent atoms:
Li 0.0000 0.0000 0.0000 [3 per cell]
Sc 0.0000 0.0000 0.8338 [3 per cell]
Ag 0.0000 0.0000 0.4130 [3 per cell]
Ag 0.0000 0.0000 0.5877 [3 per cell]

Magnetic moment ... 0.000 μB per atom
Final energy ... -42.556 eV for the cell shown

***

LiPaAlHg: optimized geometry, PBE.

abc: 7.0485 7.0485 7.0485
angles: 90.00 90.00 90.00
Space group F-43m (No. 216)
One atom of each set of equivalent atoms:
Li 0.0000 0.0000 0.0000 [4 per cell]
Pa 0.0000 0.0000 0.5000 [4 per cell]
Al 0.2500 0.2500 0.7500 [4 per cell]
Hg 0.2500 0.2500 0.2500 [4 per cell]

Magnetic moment ... 0.160 μB per atom
Final energy ... -61.219 eV for the cell shown

***

MnSe2Br: optimized geometry, PBE.

abc: 12.2696 3.5293 5.5857
angles: 90.00 102.47 90.00
Space group Cm (No. 8)
One atom of each set of equivalent atoms:
Mn 0.0000 0.0000 0.0000 [2 per cell]
Se 0.0389 0.5000 0.3413 [2 per cell]
Se 0.1538 0.5000 0.0493 [2 per cell]
Br 0.3671 0.0000 0.7296 [2 per cell]

Energy relative to the elements, uncorrected ... -0.31 eV per atom
Magnetic moment ... 1.000 μB per atom